[1]
SrMo | PBE | optimized geometry

Output
ΔE_f in eV per atom: 1.090
Spin magnetization in μB/f.u.: 0.0
Symmetry: I4/m, No. 87

abc: 13.834 13.834 3.395
angles: 90.00 90.00 90.00
Fractional coordinates of all 16 atoms:
Sr1 0.460 0.793 0.000
Sr2 0.540 0.207 0.000
Sr3 0.207 0.460 0.000
Sr4 0.793 0.540 0.000
Sr5 0.960 0.293 0.500
Sr6 0.040 0.707 0.500
Sr7 0.707 0.960 0.500
Sr8 0.293 0.040 0.500
Mo1 0.309 0.250 0.000
Mo2 0.691 0.750 0.000
Mo3 0.750 0.309 0.000
Mo4 0.250 0.691 0.000
Mo5 0.809 0.750 0.500
Mo6 0.191 0.250 0.500
Mo7 0.250 0.809 0.500
Mo8 0.750 0.191 0.500

[2]
SrMo | PBE | optimized geometry

Output
ΔE_f in eV per atom: 1.505
Spin magnetization in μB/f.u.: 3.3
Symmetry: Pm-3m, No. 221

abc: 3.845 3.845 3.845
angles: 90.00 90.00 90.00
Fractional coordinates of all 2 atoms:
Mo1 0.000 0.000 0.000
Sr1 0.500 0.500 0.500

[3]
SrMo | PBE | optimized geometry

Output
ΔE_f in eV per atom: 0.686
Spin magnetization in μB/f.u.: 0.0
Symmetry: Pmmn, No. 59

abc: 3.314 3.882 9.307
angles: 90.00 90.00 90.00
Fractional coordinates of all 4 atoms:
Mo1 0.000 0.000 0.944
Mo2 0.500 0.500 0.889
Sr1 0.500 0.000 0.609
Sr2 0.000 0.500 0.224

[4]
SrMo | PBE | optimized geometry

Output
ΔE_f in eV per atom: 0.801
Spin magnetization in μB/f.u.: 0.5
Symmetry: Pmmn, No. 59

abc: 4.109 5.628 15.788
angles: 90.00 90.00 90.00
Fractional coordinates of all 12 atoms:
Sr1 0.000 0.750 0.684
Sr2 0.500 0.250 0.816
Sr3 0.500 0.250 0.184
Sr4 0.000 0.750 0.316
Sr5 0.000 0.253 0.000
Sr6 0.500 0.747 0.500
Mo1 0.000 0.753 0.910
Mo2 0.500 0.247 0.590
Mo3 0.500 0.247 0.410
Mo4 0.000 0.753 0.090
Mo5 0.000 0.247 0.500
Mo6 0.500 0.753 0.000

[5]
SrMo | PBE | optimized geometry

Output
ΔE_f in eV per atom: 1.667
Spin magnetization in μB/f.u.: 2.4
Symmetry: P2_13, No. 198

abc: 6.027 6.027 6.027
angles: 90.00 90.00 90.00
Fractional coordinates of all 8 atoms:
Sr1 0.409 0.909 0.591
Sr2 0.091 0.091 0.091
Sr3 0.591 0.409 0.909
Sr4 0.909 0.591 0.409
Mo1 0.108 0.608 0.892
Mo2 0.392 0.392 0.392
Mo3 0.892 0.108 0.608
Mo4 0.608 0.892 0.108

[6]
SrMo | PBE | optimized geometry

Output
ΔE_f in eV per atom: 0.790
Spin magnetization in μB/f.u.: 0.0
Symmetry: P-3m1, No. 164

abc: 3.888 3.888 9.605
angles: 90.00 90.00 120.00
Fractional coordinates of all 4 atoms:
Mo1 0.000 0.000 0.066
Mo2 0.667 0.333 0.184
Sr1 0.000 0.000 0.435
Sr2 0.667 0.333 0.815

[7]
SrMo | PBE | optimized geometry

Output
ΔE_f in eV per atom: 1.327
Spin magnetization in μB/f.u.: 0.5
Symmetry: P4_2/mnm, No. 136

abc: 6.628 6.628 6.496
angles: 90.00 90.00 90.00
Fractional coordinates of all 8 atoms:
Sr1 0.181 0.819 0.000
Sr2 0.681 0.681 0.500
Sr3 0.319 0.319 0.500
Sr4 0.819 0.181 0.000
Mo1 0.388 0.388 0.000
Mo2 0.888 0.112 0.500
Mo3 0.112 0.888 0.500
Mo4 0.612 0.612 0.000

[8]
SrMo3 | PBE | optimized geometry

Output
ΔE_f in eV per atom: 1.023
Spin magnetization in μB/f.u.: 0.0
Symmetry: R-3m, No. 166

abc: 5.722 5.722 5.722
angles: 117.58 117.58 117.58
Fractional coordinates of all 4 atoms:
Mo1 0.000 0.000 0.000
Mo2 0.500 0.000 0.500
Mo3 0.500 0.500 0.000
Sr1 0.000 0.500 0.500

[9]
SrMo2 | PBE | optimized geometry

Output
ΔE_f in eV per atom: 0.959
Spin magnetization in μB/f.u.: 0.0
Symmetry: Cmcm, No. 63

abc: 7.871 7.871 3.220
angles: 90.00 90.00 137.68
Fractional coordinates of all 6 atoms:
Sr1 0.104 0.896 0.750
Sr2 0.896 0.104 0.250
Mo1 0.420 0.580 0.750
Mo2 0.580 0.420 0.250
Mo3 0.709 0.291 0.750
Mo4 0.291 0.709 0.250

[10]
SrMo | PBE | optimized geometry

Output
ΔE_f in eV per atom: 0.431
Spin magnetization in μB/f.u.: 0.0
Symmetry: P-3m1, No. 164

abc: 4.405 4.405 12.774
angles: 90.00 90.00 120.00
Fractional coordinates of all 6 atoms:
Sr1 0.000 0.000 0.500
Sr2 0.667 0.333 0.218
Sr3 0.333 0.667 0.782
Mo1 0.667 0.333 0.957
Mo2 0.333 0.667 0.043
Mo3 0.000 0.000 0.000

[11]
SrMo3 | PBE | optimized geometry

Output
ΔE_f in eV per atom: 0.685
Spin magnetization in μB/f.u.: 0.0
Symmetry: P2/m, No. 10

abc: 4.177 3.054 7.121
angles: 77.05 90.00 90.00
Fractional coordinates of all 4 atoms:
Mo1 0.000 0.013 0.909
Mo2 0.500 0.750 0.750
Mo3 0.000 0.487 0.591
Sr1 0.500 0.250 0.250

[12]
SrMo | PBE | optimized geometry

Output
ΔE_f in eV per atom: 2.325
Spin magnetization in μB/f.u.: 4.2
Symmetry: P6_3/mmc, No. 194

abc: 5.687 5.687 6.478
angles: 90.00 90.00 120.00
Fractional coordinates of all 4 atoms:
Sr1 0.333 0.667 0.250
Sr2 0.667 0.333 0.750
Mo1 0.333 0.667 0.750
Mo2 0.667 0.333 0.250